{
  "formula": "PmAl2Cu",
  "functional": "GGA-PBE",
  "state": "relaxed",
  "delta_e_f_ev_per_atom": -0.419,
  "relative_energy_mev_per_atom": 0.0,
  "dos_ef_per_ev_cell": 3.09,
  "sg": "P2_1/m (11)",
  "cell": [[4.1717, 0.0000, 0.0000], [0.0000, 6.8874, 0.0000], [-2.0760, 0.0000, 5.4265]],
  "species": ["Pm", "Pm", "Al", "Al", "Al", "Al", "Cu", "Cu"],
  "fractional_positions": [[0.0596, 0.2500, 0.1182], [0.9404, 0.7500, 0.8818], [0.3412, 0.0557, 0.6822], [0.3412, 0.4443, 0.6822], [0.6588, 0.5557, 0.3178], [0.6588, 0.9443, 0.3178], [0.2153, 0.7500, 0.4322], [0.7847, 0.2500, 0.5678]]
}

***

{
  "formula": "PmAlCu6",
  "functional": "GGA-PBE",
  "state": "relaxed",
  "delta_e_f_ev_per_atom": 0.020,
  "dos_ef_per_ev_cell": 2.22,
  "sg": "Pm-3 (200)",
  "cell": [[4.9305, 0.0000, 0.0000], [0.0000, 4.9305, 0.0000], [0.0000, 0.0000, 4.9305]],
  "species": ["Pm", "Al", "Cu", "Cu", "Cu", "Cu", "Cu", "Cu"],
  "fractional_positions": [[0.0000, 0.0000, 0.0000], [0.5000, 0.5000, 0.5000], [0.0000, 0.2622, 0.5000], [0.0000, 0.7378, 0.5000], [0.2622, 0.5000, 0.0000], [0.5000, 0.0000, 0.2622], [0.5000, 0.0000, 0.7378], [0.7378, 0.5000, 0.0000]]
}

***

{
  "formula": "Pm2AlCu",
  "functional": "GGA-PBE",
  "state": "relaxed",
  "delta_e_f_ev_per_atom": 0.331,
  "dos_ef_per_ev_cell": 3.67,
  "sg": "R-3m (166)",
  "cell": [[1.6894, 0.9754, 10.7795], [-1.6894, 0.9754, 10.7795], [0.0000, -1.9508, 10.7795]],
  "species": ["Pm", "Pm", "Al", "Cu"],
  "fractional_positions": [[0.0976, 0.0976, 0.0976], [0.9024, 0.9024, 0.9024], [0.0000, 0.0000, 0.0000], [0.5000, 0.5000, 0.5000]]
}